Here is a relaxed structure of KU2SbO8 from the Alexandria database. Energies are from GGA-PBE.

It has space group P2/m (No. 10), with a = 5.2237 Å, b = 7.0881 Å, c = 5.2244 Å, α = 90.00°, β = 92.15° and γ = 90.00°. The distinct sites, in fractional coordinates, are K at (0.0000, 0.0000, 0.0000), U at (0.5000, 0.2505, 0.5000), Sb at (0.0000, 0.5000, 0.0000), O at (0.2280, 0.2775, 0.2297), O at (0.3176, 0.5000, 0.6837) and O at (0.3393, 0.0000, 0.6623).

For the size of the total moment, the calculation gives 0.0 μB per formula unit. The value obtained for the total energy is -97.52 eV for the cell shown. The value obtained for the raw formation energy is -2505 meV/atom. The calculation puts the mass density at 6.57 g cm⁻³.